1.
Entry from Alexandria: a relaxed LaNd3Tl4 crystal (PBE-GGA).

The energy relative to the lowest polymorph listed for this composition comes out at 147 meV/atom. The value obtained for the energy of formation from the pure elements is -252 meV/atom.

The structure belongs to space group Immm (No. 71); the cell edges are 3.728, 7.483 and 18.743 Å and the angles 90.00°, 90.00° and 90.00°. The inequivalent atoms are La at (0.000, 0.000, 0.000), Nd at (0.000, 0.000, 0.500), Nd at (0.000, 0.500, 0.287) and Tl at (0.000, 0.294, 0.129).

2.
Entry from Alexandria: a relaxed La8NdTl2 crystal (PBE-GGA).

The energy relative to the lowest polymorph listed for this composition comes out at 6 meV/atom. The value obtained for the energy of formation from the pure elements is -94 meV/atom.

The structure belongs to space group C2/m (No. 12); the cell edges are 17.894, 6.963 and 6.324 Å and the angles 90.00°, 103.93° and 90.00°. The inequivalent atoms are La at (0.003, 0.000, 0.241), La at (0.127, 0.500, 0.074), La at (0.175, 0.234, 0.613), Nd at (0.000, 0.500, 0.500) and Tl at (0.177, 0.000, 0.103).

3.
Entry from Alexandria: a relaxed LaNd7Tl5 crystal (PBE-GGA).

The value obtained for the energy of formation from the pure elements is -205 meV/atom.

The structure belongs to space group Imm2 (No. 44); the cell edges are 6.782, 10.939 and 11.280 Å and the angles 90.00°, 90.00° and 90.00°. The inequivalent atoms are La at (0.000, 0.000, 0.000), Nd at (0.000, 0.000, 0.339), Nd at (0.000, 0.000, 0.662), Nd at (0.000, 0.309, 0.459), Nd at (0.000, 0.338, 0.976), Nd at (0.000, 0.500, 0.701), Tl at (0.000, 0.500, 0.232) and Tl at (0.247, 0.242, 0.216).

4.
Entry from Alexandria: a relaxed La2Nd2Tl3 crystal (PBE-GGA).

The value obtained for the energy of formation from the pure elements is -283 meV/atom.

The structure belongs to space group Cmmm (No. 65); the cell edges are 3.638, 33.308 and 3.639 Å and the angles 90.00°, 90.00° and 90.00°. The inequivalent atoms are La at (0.000, 0.201, 0.000), Nd at (0.000, 0.067, 0.000), Tl at (0.000, 0.366, 0.500) and Tl at (0.000, 0.500, 0.500).

> The highest energy of formation from the pure elements belongs to which entry?

La8NdTl2

> Among the records above, which one has the lowest energy of formation from the pure elements?

La2Nd2Tl3

> Among the records above, which one has the lowest energy of formation from the pure elements?

La2Nd2Tl3